# 1
A plane-wave DFT calculation with PBE-GGA was carried out for an optimized crystal structure of YRe4Cl.

Values from the calculation:
The value obtained for the calculated total energy is -217.09 eV/cell. The calculation puts the formation energy from raw total energies at 3.830 eV per formula unit. The calculation puts the volume at 438.4 Å³/cell.

Cell lengths 7.597, 7.597, 7.597 Å; angles 90.00, 90.00, 90.00 degrees
Space group F-43m (No. 216)
One atom of each set of equivalent atoms:
1 Y 0.000 0.000 0.000 (multiplicity 4)
2 Re 0.124 0.124 0.376 (multiplicity 16)
3 Cl 0.250 0.250 0.750 (multiplicity 4)

# 2
A plane-wave DFT calculation with PBE-GGA was carried out for an optimized crystal structure of Na2ScNbAs.

Values from the calculation:
The value obtained for the calculated total energy is -17.34 eV/cell. For the formation energy from the elements, the calculation gives 122.5 kJ/mol of atoms. The calculation puts the volume at 150.3 Å³/cell.

Cell lengths 5.490, 5.490, 4.988 Å; angles 90.00, 90.00, 90.00 degrees
Space group P4/mmm (No. 123)
One atom of each set of equivalent atoms:
1 Na 0.000 0.500 0.000 (multiplicity 2)
2 Sc 0.000 0.000 0.500 (multiplicity 1)
3 Nb 0.000 0.000 0.000 (multiplicity 1)
4 As 0.500 0.500 0.500 (multiplicity 1)

# 3
A plane-wave DFT calculation with PBE-GGA was carried out for an optimized crystal structure of Cs3Tm2MgSe6.

Values from the calculation:
The value obtained for the calculated total energy is -102.17 eV/cell. The calculation puts the formation energy from raw total energies at -17.077 eV per formula unit. The calculation puts the volume at 761.1 Å³/cell.

Cell lengths 7.251, 12.561, 8.701 Å; angles 90.00, 106.15, 90.00 degrees
Space group C2/m (No. 12)
One atom of each set of equivalent atoms:
1 Cs 0.000 0.000 0.000 (multiplicity 2)
2 Cs 0.000 0.333 0.000 (multiplicity 4)
3 Tm 0.000 0.167 0.500 (multiplicity 4)
4 Mg 0.000 0.500 0.500 (multiplicity 2)
5 Se 0.226 0.334 0.681 (multiplicity 8)
6 Se 0.229 0.000 0.681 (multiplicity 4)

# 4
A plane-wave DFT calculation with PBE-GGA was carried out for an optimized crystal structure of NdEr2Pd2.

Values from the calculation:
The value obtained for the calculated total energy is -55.53 eV/cell. As for the energy above the most stable polymorph in this dataset: 0.000 eV/atom. For the formation energy from the elements, the calculation gives -67.2 kJ/mol of atoms. The calculation puts the volume at 242.1 Å³/cell.

Cell lengths 7.921, 7.921, 3.858 Å; angles 90.00, 90.00, 90.00 degrees
Space group P4/mbm (No. 127)
One atom of each set of equivalent atoms:
1 Nd 0.000 0.000 0.000 (multiplicity 2)
2 Er 0.162 0.338 0.500 (multiplicity 4)
3 Pd 0.130 0.630 0.000 (multiplicity 4)

# 5
A plane-wave DFT calculation with PBE-GGA was carried out for an optimized crystal structure of CaTe2Pd2.

Values from the calculation:
The value obtained for the calculated total energy is -42.38 eV/cell. As for the energy above the most stable polymorph in this dataset: 0.155 eV/atom. The calculation puts the formation energy from raw total energies at -2.522 eV per formula unit. The calculation puts the volume at 229.3 Å³/cell.

Cell lengths 7.984, 7.984, 3.598 Å; angles 90.00, 90.00, 90.00 degrees
Space group P4/mbm (No. 127)
One atom of each set of equivalent atoms:
1 Ca 0.000 0.000 0.000 (multiplicity 2)
2 Te 0.162 0.338 0.000 (multiplicity 4)
3 Pd 0.141 0.641 0.500 (multiplicity 4)

# 6
A plane-wave DFT calculation with PBE-GGA was carried out for an optimized crystal structure of BaLiF4.

Values from the calculation:
The value obtained for the calculated total energy is -27.03 eV/cell. The calculation puts the formation energy from raw total energies at -15.712 eV per formula unit. The calculation puts the volume at 88.7 Å³/cell.

Cell lengths 3.754, 3.754, 6.296 Å; angles 90.00, 90.00, 90.00 degrees
Space group P4/mmm (No. 123)
One atom of each set of equivalent atoms:
1 Ba 0.000 0.000 0.000 (multiplicity 1)
2 Li 0.500 0.500 0.500 (multiplicity 1)
3 F 0.000 0.500 0.500 (multiplicity 2)
4 F 0.500 0.500 0.177 (multiplicity 2)

# 7
A plane-wave DFT calculation with PBE-GGA was carried out for an optimized crystal structure of Ac2La2Ir2Pd.

Values from the calculation:
The value obtained for the calculated total energy is -45.49 eV/cell. For the formation energy from the elements, the calculation gives -62.0 kJ/mol of atoms. The calculation puts the volume at 218.3 Å³/cell.

Cell lengths 4.078, 7.508, 8.337 Å; angles 63.86, 75.85, 74.42 degrees
Space group P-1 (No. 2)
One atom of each set of equivalent atoms:
1 Ac 0.027 0.188 0.255 (multiplicity 2)
2 La 0.278 0.648 0.299 (multiplicity 2)
3 Ir 0.380 0.199 0.539 (multiplicity 2)
4 Pd 0.500 0.500 0.000 (multiplicity 1)

# 8
A plane-wave DFT calculation with PBE-GGA was carried out for an optimized crystal structure of SrAs2P.

Values from the calculation:
The value obtained for the calculated total energy is -36.04 eV/cell. For the formation energy from the elements, the calculation gives -39.4 kJ/mol of atoms. The calculation puts the volume at 185.8 Å³/cell.

Cell lengths 10.273, 3.686, 5.264 Å; angles 90.00, 111.25, 90.00 degrees
Space group C2/m (No. 12)
One atom of each set of equivalent atoms:
1 Sr 0.000 0.000 0.000 (multiplicity 2)
2 As 0.203 0.000 0.624 (multiplicity 4)
3 P 0.000 0.500 0.500 (multiplicity 2)

What is the calculated total energy in the sixth record?
-27.03 eV/cell